4
Lattice="4.8731 0.0090 -0.0104 4.1037 2.6280 -0.0104 0.7461 0.2192 4.9409" Properties=species:S:1:pos:R:3 comment="PBE CuTcAu2, optimized geometry" formation_enthalpy_0k_ev_per_atom=0.2817 sg="Cm (8)" total_energy_ev_per_cell=-19.9 pbc="T T T"
Cu 4.9111 1.4427 2.4532
Au 8.9424 2.6269 0.0831
Au 7.3313 2.1536 3.5998
Tc 2.3765 0.6981 1.2232